Record 1
Crystalline Li2FeCu at its relaxed geometry. Source: the Alexandria database, functional PBE-GGA.

Structure (POSCAR):
```
Li2FeCu
1.0
-0.546 1.046 -4.351
0.776 -1.031 -4.320
-4.114 -2.626 -0.591
Cu Li Fe
1 2 1
Direct
0.502 0.502 0.475 Cu
0.756 0.756 0.755 Li
0.997 0.997 0.992 Li
0.244 0.244 0.278 Fe
```

## Properties
The density is 4.24 g/cm³. The formation energy comes out at 0.7 eV/f.u. The total DFT energy (no corrections) comes out at -15.64 eV per cell. As for the total magnetization: 2.47 Bohr magnetons per cell. Its space group is No. 8.


Record 2
Crystalline Ce2Zn3Pd5 at its relaxed geometry. Source: the Alexandria database, functional PBE-GGA.

Structure (POSCAR):
```
Ce2Zn3Pd5
1.0
4.159 0.000 -0.709
0.000 6.888 0.000
0.014 0.000 12.643
Pd Ce Zn
10 4 6
Direct
0.694 0.101 0.387 Pd
0.306 0.601 0.613 Pd
0.943 0.031 0.886 Pd
0.401 0.332 0.802 Pd
0.057 0.531 0.114 Pd
0.884 0.678 0.767 Pd
0.730 0.535 0.459 Pd
0.599 0.832 0.198 Pd
0.270 0.035 0.541 Pd
0.116 0.178 0.233 Pd
0.822 0.283 0.645 Ce
0.178 0.783 0.355 Ce
0.526 0.218 0.053 Ce
0.474 0.718 0.947 Ce
0.212 0.337 0.424 Zn
0.955 0.406 0.911 Zn
0.788 0.837 0.576 Zn
0.370 0.944 0.740 Zn
0.630 0.444 0.260 Zn
0.045 0.906 0.089 Zn
```

## Properties
The density is 9.25 g/cm³. The formation energy comes out at -6.0 eV/f.u. The total DFT energy (no corrections) comes out at -95.35 eV per cell. As for the total magnetization: 1.89 Bohr magnetons per cell. Its space group is No. 36.


Record 3
Crystalline MgZrTl2 at its relaxed geometry. Source: the Alexandria database, functional PBE-GGA.

Structure (POSCAR):
```
MgZrTl2
1.0
6.009 0.004 0.001
2.588 5.423 -0.001
-3.663 -3.720 2.975
Tl Mg Zr
2 1 1
Direct
0.501 0.501 0.000 Tl
0.999 0.999 0.000 Tl
0.250 0.750 0.500 Mg
0.750 0.250 0.500 Zr
```

## Properties
The density is 8.98 g/cm³. The formation energy comes out at 0.5 eV/f.u. The total DFT energy (no corrections) comes out at -14.36 eV per cell. As for the total magnetization: 0.00 Bohr magnetons per cell. Its space group is No. 71.


Record 4
Crystalline GdVRh2 at its relaxed geometry. Source: the Alexandria database, functional PBE-GGA.

Structure (POSCAR):
```
GdVRh2
1.0
4.619 0.000 0.000
2.310 4.000 0.000
2.310 1.333 3.772
V Rh Gd
1 2 1
Direct
0.500 0.500 0.500 V
0.750 0.750 0.750 Rh
0.250 0.250 0.250 Rh
0.000 0.000 0.000 Gd
```

## Properties
The density is 9.86 g/cm³. The formation energy comes out at -1.3 eV/f.u. The total DFT energy (no corrections) comes out at -39.18 eV per cell. Its energy above the lowest structure with this stoichiometry is 1 kJ/mol of formula units. As for the total magnetization: 4.70 Bohr magnetons per cell. Its space group is No. 225.